Entry 1:
{
  "formula": "Y2Ho2CIBr4",
  "functional": "PBE",
  "state": "relaxed",
  "energy_ev_per_cell": -53.2,
  "sg": "No. 12",
  "lattice_angstrom": [[8.869, -1.929, 0.000], [8.869, 1.929, 0.000], [-1.961, 0.000, 8.267]],
  "species": ["Br", "Br", "Br", "Br", "Ho", "Ho", "Y", "Y", "I", "C"],
  "frac_coords": [[0.171, 0.171, 0.842], [0.167, 0.167, 0.322], [0.833, 0.833, 0.678], [0.829, 0.829, 0.158], [0.638, 0.638, 0.069], [0.362, 0.362, 0.931], [0.000, 0.000, 0.192], [0.000, 0.000, 0.808], [0.500, 0.500, 0.500], [0.500, 0.500, 0.000]]
}

Entry 2:
{
  "formula": "Y2Ho2CI2Br3",
  "functional": "PBE",
  "state": "relaxed",
  "e_above_lowest_polymorph_mev_per_atom": 0,
  "sg": "No. 12",
  "lattice_angstrom": [[9.301, -1.935, 0.000], [9.301, 1.935, 0.000], [-1.760, 0.000, 8.005]],
  "species": ["Y", "Y", "Br", "Br", "Br", "I", "I", "C", "Ho", "Ho"],
  "frac_coords": [[0.001, 0.001, 0.800], [0.999, 0.999, 0.200], [0.158, 0.158, 0.332], [0.500, 0.500, 0.500], [0.842, 0.842, 0.668], [0.170, 0.170, 0.814], [0.830, 0.830, 0.186], [0.500, 0.500, 0.000], [0.631, 0.631, 0.070], [0.369, 0.369, 0.930]]
}

Entry 3:
{
  "formula": "Y2Ho2CI2Br3",
  "functional": "PBE",
  "state": "relaxed",
  "e_above_lowest_polymorph_mev_per_atom": 10,
  "sg": "No. 12",
  "lattice_angstrom": [[9.331, -1.935, 0.000], [9.331, 1.935, 0.000], [-1.656, 0.000, 8.034]],
  "species": ["Ho", "Ho", "Br", "Br", "Br", "Y", "Y", "I", "I", "C"],
  "frac_coords": [[0.370, 0.370, 0.940], [0.630, 0.630, 0.060], [0.163, 0.163, 0.828], [0.837, 0.837, 0.172], [0.500, 0.500, 0.500], [0.001, 0.001, 0.800], [0.999, 0.999, 0.200], [0.834, 0.834, 0.653], [0.166, 0.166, 0.347], [0.500, 0.500, 0.000]]
}

Entry 4:
{
  "formula": "Y2Ho2CI2Br3",
  "functional": "PBE",
  "state": "relaxed",
  "e_above_lowest_polymorph_mev_per_atom": 13,
  "sg": "No. 12",
  "lattice_angstrom": [[9.280, -1.930, 0.000], [9.280, 1.930, 0.000], [-1.658, 0.000, 8.016]],
  "species": ["Br", "Br", "Br", "C", "Y", "Y", "I", "I", "Ho", "Ho"],
  "frac_coords": [[0.163, 0.163, 0.823], [0.500, 0.500, 0.500], [0.837, 0.837, 0.177], [0.500, 0.500, 0.000], [0.368, 0.368, 0.939], [0.632, 0.632, 0.061], [0.835, 0.835, 0.649], [0.165, 0.165, 0.351], [0.001, 0.001, 0.802], [0.999, 0.999, 0.198]]
}

Entry 5:
{
  "formula": "Y2Ho2CI3Br2",
  "functional": "PBE",
  "state": "relaxed",
  "e_above_lowest_polymorph_mev_per_atom": 8,
  "sg": "No. 12",
  "lattice_angstrom": [[-3.919, 0.650, 8.638], [-1.846, -2.658, 8.940], [7.186, 4.587, 0.929]],
  "species": ["I", "I", "I", "Br", "Br", "Ho", "Ho", "Y", "Y", "C"],
  "frac_coords": [[0.500, 0.500, 0.500], [0.168, 0.168, 0.335], [0.832, 0.832, 0.665], [0.836, 0.836, 0.161], [0.164, 0.164, 0.839], [0.631, 0.631, 0.060], [0.369, 0.369, 0.940], [0.999, 0.999, 0.190], [0.001, 0.001, 0.810], [0.500, 0.500, 0.000]]
}

Entry 6:
{
  "formula": "Y2Ho2CIBr4",
  "functional": "PBE",
  "state": "relaxed",
  "energy_ev_per_cell": -53.2,
  "sg": "No. 12",
  "lattice_angstrom": [[8.879, -1.928, 0.000], [8.879, 1.928, 0.000], [-1.951, 0.000, 8.210]],
  "species": ["Ho", "Ho", "I", "Br", "Br", "Br", "Br", "C", "Y", "Y"],
  "frac_coords": [[0.001, 0.001, 0.810], [0.999, 0.999, 0.190], [0.500, 0.500, 0.500], [0.836, 0.836, 0.672], [0.164, 0.164, 0.328], [0.169, 0.169, 0.836], [0.831, 0.831, 0.164], [0.500, 0.500, 0.000], [0.361, 0.361, 0.929], [0.639, 0.639, 0.071]]
}

Entry 7:
{
  "formula": "Y2Ho2CI4Br",
  "functional": "PBE",
  "state": "relaxed",
  "e_above_lowest_polymorph_mev_per_atom": 0,
  "sg": "No. 12",
  "lattice_angstrom": [[9.596, -1.963, 0.000], [9.596, 1.963, 0.000], [-1.750, 0.000, 8.151]],
  "species": ["C", "Br", "I", "I", "I", "I", "Y", "Y", "Ho", "Ho"],
  "frac_coords": [[0.500, 0.500, 0.500], [0.500, 0.500, 0.000], [0.167, 0.167, 0.317], [0.833, 0.833, 0.683], [0.838, 0.838, 0.155], [0.162, 0.162, 0.845], [0.999, 0.999, 0.698], [0.001, 0.001, 0.302], [0.627, 0.627, 0.563], [0.373, 0.373, 0.437]]
}

Entry 8:
{
  "formula": "Y2Ho2CI3Br2",
  "functional": "PBE",
  "state": "relaxed",
  "e_above_lowest_polymorph_mev_per_atom": 1,
  "sg": "No. 12",
  "lattice_angstrom": [[9.299, -1.956, 0.000], [9.299, 1.956, 0.000], [-1.858, 0.000, 8.326]],
  "species": ["C", "Ho", "Ho", "Br", "Br", "I", "I", "I", "Y", "Y"],
  "frac_coords": [[0.500, 0.500, 0.000], [0.631, 0.631, 0.069], [0.369, 0.369, 0.931], [0.158, 0.158, 0.320], [0.842, 0.842, 0.680], [0.829, 0.829, 0.175], [0.171, 0.171, 0.825], [0.500, 0.500, 0.500], [0.999, 0.999, 0.191], [0.001, 0.001, 0.809]]
}